Version P
A plane-wave DFT calculation with PBE was carried out for an optimized crystal structure of Pu2Br3F.

Properties
calculated volume	388.3	Å³/cell

The structure in extended XYZ format:
```
12
Lattice="-0.998 -1.459 -3.626 -6.906 -6.204 2.153 -9.054 5.464 -1.952" Properties=species:S:1:pos:R:3 pbc="T T T"
F -10.808 -0.573 -1.284
F -6.150 -1.627 -2.141
Pu -10.668 -2.896 -0.388
Pu -11.866 -0.160 -3.403
Pu -6.290 0.696 -3.038
Pu -5.092 -2.039 -0.022
Br -11.313 2.655 -2.444
Br -3.715 0.531 -1.435
Br -7.930 1.519 -0.674
Br -5.645 -4.855 -0.981
Br -13.243 -2.730 -1.990
Br -9.029 -3.719 -2.752
```


Version Q
A plane-wave DFT calculation with PBE was carried out for an optimized crystal structure of Pu2Br3F.

Properties
calculated volume	374.0	Å³/cell

The structure in extended XYZ format:
```
12
Lattice="-3.560 0.027 2.008 1.094 -6.481 6.187 1.613 7.992 6.910" Properties=species:S:1:pos:R:3 pbc="T T T"
Pu 0.284 -3.103 8.864
Pu -1.137 4.641 6.240
Pu -1.263 5.994 10.158
Pu 0.410 -4.456 4.947
F -0.867 -3.691 6.832
F 0.014 5.230 8.273
Br 1.926 0.451 11.727
Br -0.013 -1.610 4.159
Br -0.841 3.148 10.945
Br -2.779 1.088 3.378
Br 0.590 2.477 5.173
Br -1.444 -0.939 9.932
```


Relative energy of each structure, in kJ/mol of atoms: version P 2.1; version Q 0.0.


Version P
A plane-wave DFT calculation with PBE was carried out for an optimized crystal structure of Rb5Br4F.

Properties
calculated volume	398.5	Å³/cell

The structure in extended XYZ format:
```
10
Lattice="-0.219 -0.085 -4.854 -1.128 -4.725 0.133 -15.726 6.339 3.030" Properties=species:S:1:pos:R:3 pbc="T T T"
Br -13.218 3.171 0.540
Br -3.854 -1.641 -2.230
Br -10.599 -0.023 -1.955
Br -6.473 1.553 0.264
F 0.000 0.000 0.000
Rb -14.333 0.873 -1.802
Rb -7.169 -0.846 -2.095
Rb -0.673 -2.405 -2.360
Rb -2.739 0.657 0.112
Rb -9.903 2.376 0.404
```


Version Q
A plane-wave DFT calculation with PBE was carried out for an optimized crystal structure of Rb5Br4F.

Properties
calculated volume	394.7	Å³/cell

The structure in extended XYZ format:
```
10
Lattice="-5.445 -0.986 4.230 -4.564 -6.713 -1.705 1.595 -4.597 6.717" Properties=species:S:1:pos:R:3 pbc="T T T"
Br -7.027 -8.910 6.127
Br -1.430 -3.393 3.149
Br -5.693 -5.616 2.878
Br -2.765 -6.687 6.398
Rb -3.127 -5.229 0.509
Rb -5.304 -7.070 8.747
Rb -4.239 -3.590 5.194
Rb -2.402 -0.435 1.866
Rb -4.192 -8.708 4.062
F -0.253 -0.046 0.196
```


Relative energy of each structure, in kJ/mol of atoms: version P 1.4; version Q 0.0.